[1]
{"formula": "DyPu3Sc2Se6", "functional": "PBE", "state": "optimized geometry", "lattice": [[-2.473, -0.357, -3.162], [0.903, -8.044, 0.202], [-5.693, 1.550, 6.845]], "species": ["Dy", "Pu", "Pu", "Pu", "Sc", "Sc", "Se", "Se", "Se", "Se", "Se", "Se"], "fractional_positions": [[0.500, 0.000, 0.000], [0.500, 0.500, 0.000], [0.835, 0.167, 0.670], [0.165, 0.833, 0.330], [0.833, 0.662, 0.665], [0.167, 0.338, 0.335], [0.333, 0.903, 0.666], [0.671, 0.574, 0.343], [0.667, 0.097, 0.334], [0.006, 0.250, 0.013], [0.994, 0.750, 0.987], [0.329, 0.426, 0.657]], "vol_a3_per_atom": 23.33, "raw_formation_energy_mev_per_atom": -1597, "total_energy_ev_per_cell": -100.329, "crystal_system": "monoclinic"}

=====

[2]
{"formula": "Tb3Ho2Sc2", "functional": "PBE", "state": "optimized geometry", "lattice": [[5.143, 0.000, 0.683], [0.000, 3.433, 0.000], [1.041, 0.000, 11.877]], "species": ["Tb", "Tb", "Tb", "Ho", "Ho", "Sc", "Sc"], "fractional_positions": [[0.844, 0.000, 0.313], [0.000, 0.000, 0.000], [0.156, 0.000, 0.687], [0.575, 0.500, 0.851], [0.425, 0.500, 0.149], [0.716, 0.500, 0.568], [0.284, 0.500, 0.432]], "vol_a3_per_atom": 29.61, "e_above_lowest_polymorph_mev_per_atom": 0, "total_energy_ev_per_cell": -35.448, "crystal_system": "orthorhombic"}

=====

[3]
{"formula": "Tb3Pm2Ho6Tl", "functional": "PBE", "state": "optimized geometry", "lattice": [[-2.155, -4.672, -3.262], [5.527, 2.264, -1.199], [3.526, -6.587, 9.015]], "species": ["Tb", "Tb", "Tb", "Pm", "Pm", "Ho", "Ho", "Ho", "Ho", "Ho", "Ho", "Tl"], "fractional_positions": [[0.167, 0.833, 0.500], [0.833, 0.167, 0.500], [0.500, 0.500, 0.500], [0.334, 0.666, 0.000], [0.666, 0.334, 0.000], [0.918, 0.589, 0.751], [0.754, 0.754, 0.251], [0.082, 0.411, 0.249], [0.589, 0.918, 0.751], [0.246, 0.246, 0.749], [0.411, 0.082, 0.249], [0.000, 0.000, 0.000]], "vol_a3_per_atom": 30.87, "total_energy_ev_per_cell": -53.553, "crystal_system": "monoclinic"}

=====

[4]
{"formula": "BaSrP2O", "functional": "PBE", "state": "optimized geometry", "lattice": [[-5.138, -2.107, -1.148], [-0.594, -1.512, 5.433], [-1.903, 4.127, 0.940]], "species": ["Sr", "Ba", "O", "P", "P"], "fractional_positions": [[0.000, 0.000, 0.000], [0.500, 0.500, 0.500], [0.000, 0.000, 0.500], [0.000, 0.500, 0.000], [0.500, 0.000, 0.000]], "vol_a3_per_atom": 29.85, "raw_formation_energy_mev_per_atom": -308, "e_above_lowest_polymorph_mev_per_atom": 174, "total_energy_ev_per_cell": -20.925, "crystal_system": "tetragonal"}

=====

Number 1: total magnetization 5.782 μB per formula unit, calculated density 8650 kg/m3. Number 2: total magnetization 0.000 μB per formula unit, calculated density 7182 kg/m3. Number 3: total magnetization 0.002 μB per formula unit, calculated density 8790 kg/m3. Number 4: total magnetization 2.528 μB per formula unit, calculated density 3370 kg/m3.